ReNiO2: optimized geometry, PBE with a Hubbard U.

Unit cell a=3.759 b=4.817 c=6.215 alpha=90.74 beta=107.53 gamma=105.50
Space group P1 (No. 1)
One atom of each set of equivalent atoms:
Re 0.000 0.000 0.000 [1 per cell]
Re 0.300 0.462 0.204 [1 per cell]
Ni 0.412 0.982 0.591 [1 per cell]
Ni 0.597 0.398 0.886 [1 per cell]
O 0.105 0.794 0.282 [1 per cell]
O 0.437 0.792 0.994 [1 per cell]
O 0.498 0.379 0.491 [1 per cell]
O 0.951 0.980 0.680 [1 per cell]

Summary:
The calculation puts the energy relative to the lowest polymorph listed for this composition at 0.343 eV per atom. The calculated total energy comes out at -53.75 eV/cell.